A geometry-optimized MnAgS2 structure, computed with GGA-PBE.

a b c (Å): 5.250 5.773 5.777
angles (deg): 90.13 90.05 90.04
Sites, in units of the cell vectors:
Mn 0.000 0.000 0.000
Mn 0.500 0.000 0.000
Ag 0.251 0.497 0.003
Ag 0.752 0.000 0.500
S 0.250 0.165 0.743
S 0.250 0.834 0.257
S 0.750 0.257 0.167
S 0.750 0.743 0.834

Calculated values
- energy (eV/cell) = -42.871
- magnetic moment (μB per formula unit) = 1.9
- formation energy without anion corrections (eV per atom) = -0.29

A geometry-optimized MnAgS2 structure, computed with GGA-PBE.

a b c (Å): 3.213 3.213 7.651
angles (deg): 90.00 90.00 120.00
Sites, in units of the cell vectors:
Mn 0.000 0.000 0.000
Ag 0.667 0.333 0.500
S 0.667 0.333 0.180
S 0.667 0.333 0.820

Calculated values
- energy (eV/cell) = -21.435
- magnetic moment (μB per formula unit) = 2.0
- formation energy without anion corrections (eV per atom) = -0.29

A geometry-optimized MnAgS3 structure, computed with GGA-PBE.

a b c (Å): 4.793 4.793 4.793
angles (deg): 90.00 90.00 90.00
Sites, in units of the cell vectors:
Mn 0.000 0.000 0.000
Ag 0.500 0.500 0.500
S 0.000 0.500 0.500
S 0.500 0.000 0.500
S 0.500 0.500 0.000

Calculated values
- energy (eV/cell) = -20.432
- magnetic moment (μB per formula unit) = 4.4
- energy above the lowest structure with this stoichiometry (eV per formula unit) = 5.015
- formation energy without anion corrections (eV per atom) = 0.79

A geometry-optimized MnAgS2 structure, computed with GGA-PBE.

a b c (Å): 5.880 3.214 7.731
angles (deg): 90.00 111.88 90.00
Sites, in units of the cell vectors:
Mn 0.000 0.000 0.000
Mn 0.329 0.500 0.893
Ag 0.557 0.500 0.493
Ag 0.904 0.000 0.374
S 0.257 0.500 0.171
S 0.290 0.000 0.657
S 0.638 0.000 0.037
S 0.916 0.500 0.784

Calculated values
- energy (eV/cell) = -42.800
- magnetic moment (μB per formula unit) = 1.8
- formation energy without anion corrections (eV per atom) = -0.28

A geometry-optimized MnAg2S3 structure, computed with GGA-PBE.

a b c (Å): 6.540 6.540 6.728
angles (deg): 94.36 94.36 59.40
Sites, in units of the cell vectors:
Mn 0.070 0.930 0.750
Mn 0.930 0.070 0.250
Ag 0.239 0.454 0.015
Ag 0.454 0.239 0.515
Ag 0.546 0.761 0.485
Ag 0.761 0.546 0.985
S 0.117 0.154 0.523
S 0.154 0.117 0.023
S 0.422 0.578 0.750
S 0.578 0.422 0.250
S 0.846 0.883 0.977
S 0.883 0.846 0.477

Calculated values
- energy (eV/cell) = -56.970
- magnetic moment (μB per formula unit) = 3.1
- formation energy without anion corrections (eV per atom) = -0.21

A geometry-optimized Mn2AgS4 structure, computed with GGA-PBE.

a b c (Å): 7.089 7.089 7.089
angles (deg): 60.00 60.00 60.00
Sites, in units of the cell vectors:
Mn 0.000 0.000 0.000
Mn 0.000 0.000 0.500
Mn 0.000 0.500 0.000
Mn 0.500 0.000 0.000
Ag 0.375 0.375 0.375
Ag 0.625 0.625 0.625
S 0.203 0.766 0.766
S 0.234 0.234 0.234
S 0.234 0.234 0.797
S 0.234 0.797 0.234
S 0.766 0.203 0.766
S 0.766 0.766 0.203
S 0.766 0.766 0.766
S 0.797 0.234 0.234

Calculated values
- energy (eV/cell) = -81.778
- magnetic moment (μB per formula unit) = 5.1
- energy above the lowest structure with this stoichiometry (eV per formula unit) = 0.000
- formation energy without anion corrections (eV per atom) = -0.46

A geometry-optimized MnAgS2 structure, computed with GGA-PBE.

a b c (Å): 6.260 3.729 7.042
angles (deg): 90.00 92.47 90.00
Sites, in units of the cell vectors:
Mn 0.121 0.250 0.080
Mn 0.879 0.750 0.920
Ag 0.043 0.250 0.655
Ag 0.957 0.750 0.345
S 0.233 0.750 0.942
S 0.272 0.250 0.360
S 0.728 0.750 0.640
S 0.767 0.250 0.058

Calculated values
- energy (eV/cell) = -41.994
- magnetic moment (μB per formula unit) = 1.7
- formation energy without anion corrections (eV per atom) = -0.18

A geometry-optimized MnAgS2 structure, computed with GGA-PBE.

a b c (Å): 4.395 4.395 3.088
angles (deg): 90.00 90.00 90.00
Sites, in units of the cell vectors:
Mn 0.000 0.000 0.000
Ag 0.500 0.500 0.000
S 0.000 0.500 0.500
S 0.500 0.000 0.500

Calculated values
- energy (eV/cell) = -18.119
- magnetic moment (μB per formula unit) = 0.2
- formation energy without anion corrections (eV per atom) = 0.54

A geometry-optimized Mn5Ag3S12 structure, computed with GGA-PBE.

a b c (Å): 12.587 12.587 12.587
angles (deg): 109.47 109.47 109.47
Sites, in units of the cell vectors:
Mn 0.000 0.000 0.000
Mn 0.000 0.000 0.500
Mn 0.000 0.500 0.000
Mn 0.000 0.500 0.500
Mn 0.125 0.750 0.875
Mn 0.125 0.875 0.250
Mn 0.250 0.125 0.875
Mn 0.250 0.625 0.375
Mn 0.375 0.250 0.625
Mn 0.375 0.625 0.750
Mn 0.500 0.000 0.000
Mn 0.500 0.000 0.500
Mn 0.500 0.500 0.000
Mn 0.500 0.500 0.500
Mn 0.625 0.375 0.250
Mn 0.625 0.750 0.375
Mn 0.750 0.375 0.625
Mn 0.750 0.875 0.125
Mn 0.875 0.125 0.750
Mn 0.875 0.250 0.125
Ag 0.125 0.250 0.375
Ag 0.125 0.375 0.750
Ag 0.250 0.375 0.125
Ag 0.250 0.875 0.625
Ag 0.375 0.125 0.250
Ag 0.375 0.750 0.125
Ag 0.625 0.250 0.875
Ag 0.625 0.875 0.750
Ag 0.750 0.125 0.375
Ag 0.750 0.625 0.875
Ag 0.875 0.625 0.250
Ag 0.875 0.750 0.625
S 0.026 0.208 0.112
S 0.026 0.318 0.914
S 0.086 0.612 0.404
S 0.086 0.974 0.682
S 0.096 0.708 0.682
S 0.096 0.888 0.414
S 0.112 0.026 0.208
S 0.112 0.586 0.904
S 0.182 0.208 0.596
S 0.182 0.474 0.586
S 0.208 0.112 0.026
S 0.208 0.596 0.182
S 0.292 0.318 0.904
S 0.292 0.474 0.388
S 0.318 0.904 0.292
S 0.318 0.914 0.026
S 0.388 0.292 0.474
S 0.388 0.596 0.914
S 0.404 0.086 0.612
S 0.404 0.818 0.792
S 0.414 0.096 0.888
S 0.414 0.818 0.526
S 0.474 0.388 0.292
S 0.474 0.586 0.182
S 0.526 0.414 0.818
S 0.526 0.612 0.708
S 0.586 0.182 0.474
S 0.586 0.904 0.112
S 0.596 0.182 0.208
S 0.596 0.914 0.388
S 0.612 0.404 0.086
S 0.612 0.708 0.526
S 0.682 0.086 0.974
S 0.682 0.096 0.708
S 0.708 0.526 0.612
S 0.708 0.682 0.096
S 0.792 0.404 0.818
S 0.792 0.888 0.974
S 0.818 0.526 0.414
S 0.818 0.792 0.404
S 0.888 0.414 0.096
S 0.888 0.974 0.792
S 0.904 0.112 0.586
S 0.904 0.292 0.318
S 0.914 0.026 0.318
S 0.914 0.388 0.596
S 0.974 0.682 0.086
S 0.974 0.792 0.888

Calculated values
- energy (eV/cell) = -429.487
- magnetic moment (μB per formula unit) = 14.0
- formation energy without anion corrections (eV per atom) = -0.17

A geometry-optimized MnAgS2 structure, computed with GGA-PBE.

a b c (Å): 10.319 10.319 4.419
angles (deg): 90.00 90.00 159.74
Sites, in units of the cell vectors:
Mn 0.071 0.929 0.750
Mn 0.929 0.071 0.250
Ag 0.315 0.685 0.750
Ag 0.685 0.315 0.250
S 0.046 0.954 0.250
S 0.181 0.819 0.750
S 0.819 0.181 0.250
S 0.954 0.046 0.750

Calculated values
- energy (eV/cell) = -41.210
- magnetic moment (μB per formula unit) = 3.8
- formation energy without anion corrections (eV per atom) = -0.08

A geometry-optimized MnAgS2 structure, computed with GGA-PBE.

a b c (Å): 5.263 5.947 6.675
angles (deg): 65.31 67.47 89.64
Sites, in units of the cell vectors:
Mn 0.000 0.000 0.000
Mn 0.495 0.998 0.010
Ag 0.288 0.745 0.554
Ag 0.457 0.511 0.986
S 0.121 0.691 0.247
S 0.367 0.298 0.753
S 0.658 0.127 0.214
S 0.857 0.895 0.780

Calculated values
- energy (eV/cell) = -42.788
- magnetic moment (μB per formula unit) = 2.0
- formation energy without anion corrections (eV per atom) = -0.28

A geometry-optimized MnAgS2 structure, computed with GGA-PBE.

a b c (Å): 7.596 3.447 12.839
angles (deg): 90.00 90.00 90.00
Sites, in units of the cell vectors:
Mn 0.060 0.250 0.064
Mn 0.440 0.750 0.564
Mn 0.560 0.250 0.436
Mn 0.940 0.750 0.936
Ag 0.141 0.250 0.785
Ag 0.359 0.750 0.285
Ag 0.641 0.250 0.715
Ag 0.859 0.750 0.215
S 0.124 0.250 0.228
S 0.202 0.750 0.000
S 0.298 0.250 0.500
S 0.376 0.750 0.728
S 0.624 0.250 0.272
S 0.702 0.750 0.500
S 0.798 0.250 0.000
S 0.876 0.750 0.772

Calculated values
- energy (eV/cell) = -85.134
- magnetic moment (μB per formula unit) = 0.3
- formation energy without anion corrections (eV per atom) = -0.25

A geometry-optimized MnAgS2 structure, computed with GGA-PBE.

a b c (Å): 4.343 4.343 4.343
angles (deg): 60.00 60.00 60.00
Sites, in units of the cell vectors:
Mn 0.000 0.000 0.000
Ag 0.500 0.500 0.500
S 0.250 0.250 0.250
S 0.750 0.750 0.750

Calculated values
- energy (eV/cell) = -18.533
- magnetic moment (μB per formula unit) = 0.0
- formation energy without anion corrections (eV per atom) = 0.44

A geometry-optimized MnAgS2 structure, computed with GGA-PBE.

a b c (Å): 6.344 6.344 6.344
angles (deg): 131.00 78.88 122.46
Sites, in units of the cell vectors:
Mn 0.000 0.000 0.000
Mn 0.000 0.500 0.500
Ag 0.506 0.362 0.644
Ag 0.718 0.862 0.356
S 0.073 0.951 0.622
S 0.328 0.451 0.378
S 0.676 0.059 0.117
S 0.941 0.559 0.883

Calculated values
- energy (eV/cell) = -42.908
- magnetic moment (μB per formula unit) = 1.7
- formation energy without anion corrections (eV per atom) = -0.29

A geometry-optimized MnAgS2 structure, computed with GGA-PBE.

a b c (Å): 3.200 6.149 7.633
angles (deg): 80.05 89.96 89.98
Sites, in units of the cell vectors:
Mn 0.000 0.000 0.000
Mn 0.500 0.282 0.805
Ag 0.003 0.147 0.345
Ag 0.500 0.732 0.544
S 0.000 0.368 0.991
S 0.000 0.374 0.583
S 0.500 0.863 0.208
S 0.500 0.925 0.811

Calculated values
- energy (eV/cell) = -43.125
- magnetic moment (μB per formula unit) = 1.8
- formation energy without anion corrections (eV per atom) = -0.32

A geometry-optimized MnAgS2 structure, computed with GGA-PBE.

a b c (Å): 3.731 3.731 5.128
angles (deg): 90.00 90.00 90.00
Sites, in units of the cell vectors:
Mn 0.000 0.000 0.000
Ag 0.500 0.500 0.500
S 0.000 0.000 0.500
S 0.500 0.500 0.000

Calculated values
- energy (eV/cell) = -21.147
- magnetic moment (μB per formula unit) = 4.7
- formation energy without anion corrections (eV per atom) = -0.22

A geometry-optimized MnAgS2 structure, computed with GGA-PBE.

a b c (Å): 6.436 6.436 6.436
angles (deg): 129.28 129.28 74.56
Sites, in units of the cell vectors:
Mn 0.000 0.000 0.000
Mn 0.750 0.250 0.500
Ag 0.250 0.750 0.500
Ag 0.500 0.500 0.000
S 0.062 0.625 0.937
S 0.375 0.312 0.437
S 0.688 0.125 0.063
S 0.875 0.938 0.563

Calculated values
- energy (eV/cell) = -42.045
- magnetic moment (μB per formula unit) = 0.0
- formation energy without anion corrections (eV per atom) = -0.19

A geometry-optimized MnAgS2 structure, computed with GGA-PBE.

a b c (Å): 4.781 4.781 6.507
angles (deg): 109.63 109.63 90.55
Sites, in units of the cell vectors:
Mn 0.162 0.838 0.500
Mn 0.838 0.162 0.000
Ag 0.459 0.614 0.963
Ag 0.614 0.459 0.463
S 0.003 0.656 0.108
S 0.071 0.294 0.400
S 0.294 0.071 0.900
S 0.656 0.003 0.608

Calculated values
- energy (eV/cell) = -40.464
- magnetic moment (μB per formula unit) = 0.0
- formation energy without anion corrections (eV per atom) = 0.01

A geometry-optimized MnAg2Sb2S6 structure, computed with GGA-PBE.

a b c (Å): 6.524 6.524 6.788
angles (deg): 100.54 100.54 118.80
Sites, in units of the cell vectors:
Mn 0.000 0.000 0.000
Ag 0.176 0.824 0.500
Ag 0.824 0.176 0.500
Sb 0.331 0.669 0.000
Sb 0.669 0.331 0.000
S 0.080 0.396 0.231
S 0.198 0.198 0.773
S 0.396 0.080 0.231
S 0.604 0.920 0.769
S 0.802 0.802 0.227
S 0.920 0.604 0.769

Calculated values
- energy (eV/cell) = -50.343
- magnetic moment (μB per formula unit) = 3.4
- formation energy without anion corrections (eV per atom) = -0.22

A geometry-optimized Sc3MnAg3S8 structure, computed with GGA-PBE.

a b c (Å): 7.357 7.357 7.796
angles (deg): 118.44 118.44 60.00
Sites, in units of the cell vectors:
Sc 0.000 0.000 0.000
Sc 0.000 0.500 0.000
Sc 0.500 0.000 0.000
Mn 0.500 0.500 0.000
Ag 0.000 0.500 0.500
Ag 0.500 0.000 0.500
Ag 0.500 0.500 0.500
S 0.241 0.241 0.221
S 0.264 0.725 0.212
S 0.275 0.275 0.789
S 0.275 0.736 0.788
S 0.725 0.264 0.212
S 0.725 0.725 0.211
S 0.736 0.275 0.788
S 0.759 0.759 0.779

Calculated values
- energy (eV/cell) = -84.993
- magnetic moment (μB per formula unit) = 3.0
- formation energy without anion corrections (eV per atom) = -1.02